No. 1
## Tb3DyPb2 (PBE-GGA)

Data for a relaxed structure of Tb3DyPb2.

Output
As for the density of states at the Fermi level: 4.32 states/eV/f.u. As for the total magnetic moment: 0.000 μB per formula unit. Its energy above the most stable polymorph in this dataset is 0.000 eV/atom. The calculation puts the mass density at 9.719 g/cm³. The formation energy comes out at -0.43 eV/atom.

a = 4.570 Å, b = 4.570 Å, c = 8.621 Å
α = 90.00°, β = 90.00°, γ = 90.00°
Space group P-4m2 (No. 115)
Asymmetric unit:
Tb 0.000 0.000 0.000
Tb 0.000 0.500 0.658
Dy 0.500 0.500 0.000
Pb 0.000 0.500 0.285

No. 2
## TbDy2Pb9 (PBE-GGA)

Data for a relaxed structure of TbDy2Pb9.

Output
As for the density of states at the Fermi level: 6.74 states/eV/f.u. As for the total magnetic moment: 0.000 μB per formula unit. The calculation puts the mass density at 11.190 g/cm³. The formation energy comes out at -0.28 eV/atom.

a = 4.880 Å, b = 4.880 Å, c = 14.639 Å
α = 90.00°, β = 90.00°, γ = 90.00°
Space group P4/mmm (No. 123)
Asymmetric unit:
Tb 0.000 0.000 0.000
Dy 0.000 0.000 0.334
Pb 0.000 0.500 0.167
Pb 0.000 0.500 0.500
Pb 0.500 0.500 0.000
Pb 0.500 0.500 0.334

No. 3
## Tb2DyPb3 (PBE-GGA)

Data for a relaxed structure of Tb2DyPb3.

Output
As for the density of states at the Fermi level: 6.17 states/eV/f.u. As for the total magnetic moment: 0.000 μB per formula unit. Its energy above the most stable polymorph in this dataset is 0.481 eV/atom. The calculation puts the mass density at 7.753 g/cm³. The formation energy comes out at -0.02 eV/atom.

a = 16.239 Å, b = 9.487 Å, c = 6.128 Å
α = 90.00°, β = 90.00°, γ = 90.00°
Space group Cmcm (No. 63)
Asymmetric unit:
Tb 0.167 0.182 0.250
Dy 0.000 0.320 0.750
Pb 0.000 0.353 0.250
Pb 0.165 0.146 0.750

No. 4
## Tb3DyPb4 (PBE-GGA)

Data for a relaxed structure of Tb3DyPb4.

Output
As for the density of states at the Fermi level: 5.23 states/eV/f.u. As for the total magnetic moment: 0.000 μB per formula unit. The calculation puts the mass density at 10.577 g/cm³. The formation energy comes out at -0.45 eV/atom.

a = 11.164 Å, b = 6.425 Å, c = 6.426 Å
α = 90.00°, β = 90.00°, γ = 90.00°
Space group Pmn2_1 (No. 31)
Asymmetric unit:
Tb 0.000 0.000 0.000
Tb 0.250 0.250 0.250
Dy 0.000 0.500 0.501
Pb 0.000 0.000 0.500
Pb 0.000 0.500 0.000
Pb 0.250 0.250 0.750

No. 5
## Tb3DyPb2 (PBE-GGA)

Data for a relaxed structure of Tb3DyPb2.

Output
As for the density of states at the Fermi level: 7.40 states/eV/f.u. As for the total magnetic moment: 0.001 μB per formula unit. Its energy above the most stable polymorph in this dataset is 0.272 eV/atom. The calculation puts the mass density at 8.542 g/cm³. The formation energy comes out at -0.15 eV/atom.

a = 7.274 Å, b = 14.683 Å, c = 7.672 Å
α = 90.00°, β = 90.00°, γ = 90.00°
Space group Ibam (No. 72)
Asymmetric unit:
Tb 0.000 0.000 0.250
Tb 0.000 0.293 0.250
Dy 0.000 0.500 0.000
Pb 0.176 0.143 0.000

No. 6
## Tb5DyPb6 (PBE-GGA)

Data for a relaxed structure of Tb5DyPb6.

Output
As for the density of states at the Fermi level: 7.92 states/eV/f.u. As for the total magnetic moment: 0.000 μB per formula unit. The calculation puts the mass density at 10.242 g/cm³. The formation energy comes out at -0.45 eV/atom.

a = 6.127 Å, b = 15.313 Å, c = 7.830 Å
α = 90.00°, β = 103.79°, γ = 90.00°
Space group C2/m (No. 12)
Asymmetric unit:
Tb 0.000 0.000 0.000
Tb 0.000 0.333 0.000
Tb 0.000 0.334 0.500
Dy 0.000 0.000 0.500
Pb 0.000 0.166 0.251
Pb 0.002 0.500 0.249

No. 7
## TbDyPb (PBE-GGA)

Data for a relaxed structure of TbDyPb.

Output
As for the density of states at the Fermi level: 2.09 states/eV/f.u. As for the total magnetic moment: 0.000 μB per formula unit. Its energy above the most stable polymorph in this dataset is 0.000 eV/atom. The calculation puts the mass density at 9.776 g/cm³. The formation energy comes out at -0.42 eV/atom.

a = 4.568 Å, b = 4.568 Å, c = 8.607 Å
α = 90.00°, β = 90.00°, γ = 90.00°
Space group P4/nmm (No. 129, origin choice 2)
Asymmetric unit:
Tb 0.250 0.250 0.158
Dy 0.250 0.750 0.500
Pb 0.250 0.250 0.784

No. 8
## Tb3DyPb12 (PBE-GGA)

Data for a relaxed structure of Tb3DyPb12.

Output
As for the density of states at the Fermi level: 7.97 states/eV/f.u. As for the total magnetic moment: 0.000 μB per formula unit. The calculation puts the mass density at 11.143 g/cm³. The formation energy comes out at -0.29 eV/atom.

a = 4.916 Å, b = 4.916 Å, c = 19.276 Å
α = 90.00°, β = 90.00°, γ = 90.00°
Space group P4/mmm (No. 123)
Asymmetric unit:
Tb 0.000 0.000 0.000
Tb 0.000 0.000 0.250
Dy 0.000 0.000 0.500
Pb 0.000 0.500 0.125
Pb 0.000 0.500 0.375
Pb 0.500 0.500 0.000
Pb 0.500 0.500 0.250
Pb 0.500 0.500 0.500

No. 9
## Tb2Dy3Pb4 (PBE-GGA)

Data for a relaxed structure of Tb2Dy3Pb4.

Output
As for the density of states at the Fermi level: 5.15 states/eV/f.u. As for the total magnetic moment: 0.000 μB per formula unit. The calculation puts the mass density at 10.139 g/cm³. The formation energy comes out at -0.43 eV/atom.

a = 16.505 Å, b = 4.935 Å, c = 6.796 Å
α = 90.00°, β = 104.77°, γ = 90.00°
Space group C2/m (No. 12)
Asymmetric unit:
Tb 0.169 0.000 0.071
Dy 0.000 0.500 0.000
Dy 0.112 0.500 0.584
Pb 0.009 0.000 0.282
Pb 0.250 0.000 0.685

No. 10
## Tb5Dy8Pb (PBE-GGA)

Data for a relaxed structure of Tb5Dy8Pb.

Output
As for the density of states at the Fermi level: 18.38 states/eV/f.u. As for the total magnetic moment: 0.000 μB per formula unit. The calculation puts the mass density at 8.331 g/cm³. The formation energy comes out at 0.17 eV/atom.

a = 9.588 Å, b = 9.588 Å, c = 9.982 Å
α = 90.00°, β = 90.00°, γ = 90.00°
Space group I-4 (No. 82)
Asymmetric unit:
Tb 0.000 0.000 0.000
Tb 0.101 0.789 0.579
Dy 0.069 0.677 0.905
Dy 0.083 0.816 0.247
Pb 0.000 0.500 0.250